# 1
The following is a DFT calculation (GGA-PBE) of a geometry-optimized Nd3Ag2Hg7 structure.

a = 4.9060 Å, b = 3.9661 Å, c = 16.0111 Å
α = 90.00°, β = 98.54°, γ = 90.00°
Last column: nearest neighbours and their distance in Å.
Space group P2/m (No. 10)
Inequivalent atoms, fractional coordinates:
Nd1 0.0000 0.0000 0.0000 (multiplicity 1)  8 Hg 3.14-3.15
Nd2 0.3150 0.5000 0.6343 (multiplicity 2)  4 Ag 3.41-3.42, 8 Hg 3.46-3.55
Ag1 0.1456 0.0000 0.2833 (multiplicity 2)  5 Hg 2.72-2.96
Hg1 0.0791 0.5000 0.1536 (multiplicity 2)  2 Ag 2.85, 2 Nd 3.14, 4 Hg 3.17-3.19
Hg2 0.2283 0.0000 0.4552 (multiplicity 2)  1 Ag 2.72, 2 Hg 2.83
Hg3 0.4065 0.0000 0.8206 (multiplicity 2)  2 Ag 2.95-2.96, 4 Hg 3.17-3.19
Hg4 0.5000 0.5000 0.0000 (multiplicity 1)  4 Nd 3.15, 8 Hg 3.44-3.47

Results
* formation energy: -285.9 kJ/mol of formula units
* electronic total energy: -25.08 eV/cell
* ρ: 11.063 g/cm³
* calculated volume: 25.67 Å³ per atom



# 2
The following is a DFT calculation (GGA-PBE) of a geometry-optimized Th2BeAlIr6 structure.

a = 8.9047 Å, b = 8.9058 Å, c = 6.2969 Å
α = 90.00°, β = 134.94°, γ = 90.00°
Last column: nearest neighbours and their distance in Å.
Space group C2/m (No. 12)
Inequivalent atoms, fractional coordinates:
Th1 0.0000 0.2500 0.0000 (multiplicity 4)  12 Ir 3.15
Be1 0.0000 0.0000 0.5000 (multiplicity 2)  6 Ir 2.12
Al1 0.0000 0.5000 0.5000 (multiplicity 2)  6 Ir 2.33
Ir1 0.0000 0.2383 0.5000 (multiplicity 4)  1 Be 2.12, 1 Al 2.33
Ir2 0.2383 0.0000 0.5001 (multiplicity 4)  1 Be 2.12, 1 Al 2.33
Ir3 0.2383 0.0000 0.9766 (multiplicity 4)  1 Be 2.12, 1 Al 2.33

Results
* formation energy: -435.0 kJ/mol of formula units
* electronic total energy: -159.97 eV/cell
* ρ: 15.534 g/cm³
* calculated volume: 17.67 Å³ per atom



# 3
The following is a DFT calculation (GGA-PBE) of a geometry-optimized InRuAu2 structure.

a = 3.4106 Å, b = 4.6287 Å, c = 8.9922 Å
α = 90.00°, β = 90.00°, γ = 90.00°
Last column: nearest neighbours and their distance in Å.
Space group Imm2 (No. 44)
Inequivalent atoms, fractional coordinates:
In1 0.0000 0.0000 0.0000 (multiplicity 2)  2 Ru 2.77, 6 Au 2.81-2.87
Ru1 0.0000 0.5000 0.7421 (multiplicity 2)  2 In 2.77, 6 Au 2.86-2.88
Au1 0.0000 0.0000 0.4978 (multiplicity 2)  2 Au 2.85, 4 Ru 2.86-3.19, 4 In 2.87
Au2 0.0000 0.5000 0.2518 (multiplicity 2)  2 In 2.81, 2 Au 2.85, 4 Ru 2.88

Results
* formation energy: 77.3 kJ/mol of formula units
* electronic total energy: -35.54 eV/cell
* ρ: 14.267 g/cm³
* calculated volume: 17.74 Å³ per atom



Which of these has the highest formation energy?
InRuAu2



The lowest formation energy belongs to which entry?
Th2BeAlIr6



Please write out number 1 again, unchanged.
The following is a DFT calculation (GGA-PBE) of a geometry-optimized Nd3Ag2Hg7 structure.

a = 4.9060 Å, b = 3.9661 Å, c = 16.0111 Å
α = 90.00°, β = 98.54°, γ = 90.00°
Last column: nearest neighbours and their distance in Å.
Space group P2/m (No. 10)
Inequivalent atoms, fractional coordinates:
Nd1 0.0000 0.0000 0.0000 (multiplicity 1)  8 Hg 3.14-3.15
Nd2 0.3150 0.5000 0.6343 (multiplicity 2)  4 Ag 3.41-3.42, 8 Hg 3.46-3.55
Ag1 0.1456 0.0000 0.2833 (multiplicity 2)  5 Hg 2.72-2.96
Hg1 0.0791 0.5000 0.1536 (multiplicity 2)  2 Ag 2.85, 2 Nd 3.14, 4 Hg 3.17-3.19
Hg2 0.2283 0.0000 0.4552 (multiplicity 2)  1 Ag 2.72, 2 Hg 2.83
Hg3 0.4065 0.0000 0.8206 (multiplicity 2)  2 Ag 2.95-2.96, 4 Hg 3.17-3.19
Hg4 0.5000 0.5000 0.0000 (multiplicity 1)  4 Nd 3.15, 8 Hg 3.44-3.47

Results
* formation energy: -285.9 kJ/mol of formula units
* electronic total energy: -25.08 eV/cell
* ρ: 11.063 g/cm³
* calculated volume: 25.67 Å³ per atom